1.
Entry from Alexandria via LeMat-Bulk: a relaxed structure of UIn2Pb (GGA-PBE).

The structure in CIF format:
```
data_UIn2Pb
_chemical_formula_sum 'U1 In2 Pb1'
_space_group_name_H-M_alt 'P 4/m m m'
_space_group_IT_number 123
_space_group_name_Hall '-P 4 2'
_cell_length_a 4.618
_cell_length_b 4.618
_cell_length_c 4.853
_cell_angle_alpha 90.00
_cell_angle_beta 90.00
_cell_angle_gamma 90.00
loop_
_atom_site_label
_atom_site_type_symbol
_atom_site_fract_x
_atom_site_fract_y
_atom_site_fract_z
_atom_site_occupancy
U1 U 0.000 0.000 0.000 1
In1 In 0.000 0.500 0.500 1
Pb1 Pb 0.500 0.500 0.000 1
```

## Properties
**Electronic total energy**: -20.29 eV/cell
**Energy of formation**: 4 kJ per mole of atoms

***

2.
Entry from Alexandria via LeMat-Bulk: a relaxed structure of Li4Np3UTe8 (GGA-PBE).

The structure in CIF format:
```
data_Li4Np3UTe8
_chemical_formula_sum 'Li12 Np9 U3 Te24'
_space_group_name_H-M_alt 'R -3 m'
_space_group_IT_number 166
_space_group_name_Hall '-R 3 2"'
_cell_length_a 8.6938
_cell_length_b 8.6938
_cell_length_c 21.2491
_cell_angle_alpha 90.00
_cell_angle_beta 90.00
_cell_angle_gamma 120.00
loop_
_atom_site_label
_atom_site_type_symbol
_atom_site_fract_x
_atom_site_fract_y
_atom_site_fract_z
_atom_site_occupancy
Li1 Li 0.0000 0.0000 0.0000 1
Li2 Li 0.0000 0.5000 0.0000 1
Np1 Np 0.0000 0.5000 0.5000 1
U1 U 0.0000 0.0000 0.5000 1
Te1 Te 0.0000 0.0000 0.2530 1
Te2 Te 0.0017 0.5008 0.2532 1
```

## Properties
**Uncorrected formation energy**: -0.79 eV/atom
**Electronic total energy**: -286.39 eV/cell

***

3.
Entry from Alexandria via LeMat-Bulk: a relaxed structure of CdB3Sb2Rh8 (GGA-PBE).

The structure in CIF format:
```
data_CdB3Sb2Rh8
_chemical_formula_sum 'Cd3 B9 Sb6 Rh24'
_space_group_name_H-M_alt 'R 3 m'
_space_group_IT_number 160
_space_group_name_Hall 'R 3 -2"'
_cell_length_a 5.9616
_cell_length_b 5.9616
_cell_length_c 20.9230
_cell_angle_alpha 90.00
_cell_angle_beta 90.00
_cell_angle_gamma 120.00
loop_
_atom_site_label
_atom_site_type_symbol
_atom_site_fract_x
_atom_site_fract_y
_atom_site_fract_z
_atom_site_occupancy
Cd1 Cd 0.0000 0.0000 0.0000 1
B1 B 0.0012 0.5006 0.1586 1
Sb1 Sb 0.0000 0.0000 0.3110 1
Sb2 Sb 0.0000 0.0000 0.6643 1
Rh1 Rh 0.0000 0.0000 0.4349 1
Rh2 Rh 0.0000 0.0000 0.8771 1
Rh3 Rh 0.0025 0.5013 0.4337 1
Rh4 Rh 0.1755 0.3509 0.2229 1
```

## Properties
**Uncorrected formation energy**: -0.22 eV/atom
**Electronic total energy**: -273.14 eV/cell

***

4.
Entry from Alexandria via LeMat-Bulk: a relaxed structure of CdFeMo2 (GGA-PBE).

The structure in CIF format:
```
data_CdFeMo2
_chemical_formula_sum 'Cd2 Fe2 Mo4'
_space_group_name_H-M_alt 'I 4/m m m'
_space_group_IT_number 139
_space_group_name_Hall '-I 4 2'
_cell_length_a 3.797
_cell_length_b 3.797
_cell_length_c 8.708
_cell_angle_alpha 90.00
_cell_angle_beta 90.00
_cell_angle_gamma 90.00
loop_
_atom_site_label
_atom_site_type_symbol
_atom_site_fract_x
_atom_site_fract_y
_atom_site_fract_z
_atom_site_occupancy
Cd1 Cd 0.000 0.000 0.000 1
Fe1 Fe 0.000 0.000 0.500 1
Mo1 Mo 0.000 0.500 0.250 1
```

## Properties
**Electronic total energy**: -58.65 eV/cell
**Energy of formation**: 41 kJ per mole of atoms

***

5.
Entry from Alexandria via LeMat-Bulk: a relaxed structure of Ti2NiAs2 (GGA-PBE).

The structure in CIF format:
```
data_Ti2NiAs2
_chemical_formula_sum 'Ti8 Ni4 As8'
_space_group_name_H-M_alt 'C m c 21'
_space_group_IT_number 36
_cell_length_a 3.764
_cell_length_b 14.476
_cell_length_c 5.731
_cell_angle_alpha 90.00
_cell_angle_beta 90.00
_cell_angle_gamma 90.00
loop_
_space_group_symop_operation_xyz
'x,y,z'
'-x,-y,z+1/2'
'-x,y,z'
'x,-y,z+1/2'
'x+1/2,y+1/2,z'
'-x+1/2,-y+1/2,z+1/2'
'-x+1/2,y+1/2,z'
'x+1/2,-y+1/2,z+1/2'
loop_
_atom_site_label
_atom_site_type_symbol
_atom_site_fract_x
_atom_site_fract_y
_atom_site_fract_z
_atom_site_occupancy
Ti1 Ti 0.000 0.014 0.000 1
Ti2 Ti 0.000 0.196 0.312 1
Ni1 Ni 0.000 0.395 0.165 1
As1 As 0.000 0.178 0.825 1
As2 As 0.000 0.428 0.765 1
```

## Properties
**Electronic total energy**: -137.84 eV/cell
**Energy of formation**: -69 kJ per mole of atoms

***

6.
Entry from Alexandria via LeMat-Bulk: a relaxed structure of ReP2Rh2 (GGA-PBE).

The structure in CIF format:
```
data_ReP2Rh2
_chemical_formula_sum 'Re2 P4 Rh4'
_space_group_name_H-M_alt 'P 4/m b m'
_space_group_IT_number 127
_space_group_name_Hall '-P 4 2ab'
_cell_length_a 6.641
_cell_length_b 6.641
_cell_length_c 3.073
_cell_angle_alpha 90.00
_cell_angle_beta 90.00
_cell_angle_gamma 90.00
loop_
_atom_site_label
_atom_site_type_symbol
_atom_site_fract_x
_atom_site_fract_y
_atom_site_fract_z
_atom_site_occupancy
Re1 Re 0.000 0.000 0.000 1
P1 P 0.156 0.344 0.000 1
Rh1 Rh 0.148 0.648 0.500 1
```

## Properties
**Electronic total energy**: -77.15 eV/cell
**Energy of formation**: -12 kJ per mole of atoms